DFT (GGA-PBE) results for a relaxed structure of GdY2Cu4Ge4.

Unit cell a=8.039 b=8.039 c=8.039 alpha=149.63 beta=130.72 gamma=58.99
Fractional coordinates of all 11 atoms:
Gd 0.000 0.000 0.000
Y 0.370 0.870 0.500
Y 0.630 0.130 0.500
Cu 0.021 0.331 0.690
Cu 0.359 0.669 0.690
Cu 0.641 0.331 0.310
Cu 0.979 0.669 0.310
Ge 0.217 0.217 0.000
Ge 0.309 0.500 0.809
Ge 0.691 0.500 0.191
Ge 0.783 0.783 0.000

Results
Energy ... -57.98 eV per cell
Space-group type ... Immm (71)